Entry 1:
Material: Dy5MgSc4
Method: DFT, PBE-GGA
State: optimized geometry

Unit cell a=3.4776 b=3.4776 c=22.9879 alpha=90.00 beta=90.00 gamma=90.00
Space group P4/mmm (No. 123)
Inequivalent atoms, fractional coordinates:
1 Dy 0.0000 0.0000 0.0000 [1 per cell]
2 Dy 0.0000 0.0000 0.2004 [2 per cell]
3 Dy 0.0000 0.0000 0.4006 [2 per cell]
4 Mg 0.5000 0.5000 0.5000 [1 per cell]
5 Sc 0.5000 0.5000 0.1005 [2 per cell]
6 Sc 0.5000 0.5000 0.3014 [2 per cell]

Raw total energy   -4.967 eV/atom
Formation energy   0.26 eV/f.u.

Entry 2:
Material: LiHoMg5
Method: DFT, PBE-GGA
State: optimized geometry

Unit cell a=6.1921 b=9.0982 c=6.6281 alpha=90.00 beta=90.13 gamma=90.00
Space group C2/m (No. 12)
Inequivalent atoms, fractional coordinates:
1 Li 0.0000 0.0000 0.0000 [2 per cell]
2 Ho 0.0000 0.5000 0.5000 [2 per cell]
3 Mg 0.0000 0.5000 0.0000 [2 per cell]
4 Mg 0.2502 0.2503 0.2429 [8 per cell]

Offset from the most stable computed form   0.82 eV per formula unit
Raw total energy   -1.927 eV/atom
Formation energy   0.97 eV/f.u.

Entry 3:
Material: CaHg2
Method: DFT, PBE-GGA
State: optimized geometry

Unit cell a=3.9759 b=15.0069 c=5.2543 alpha=90.00 beta=90.00 gamma=90.00
Space group Cmcm (No. 63)
Inequivalent atoms, fractional coordinates:
1 Ca 0.0000 0.0993 0.2500 [4 per cell]
2 Hg 0.0000 0.2330 0.7500 [4 per cell]
3 Hg 0.0000 0.4307 0.2500 [4 per cell]

Raw total energy   -1.312 eV/atom
Formation energy   -1.33 eV/f.u.

Entry 4:
Material: CsTlPb2O4
Method: DFT, PBE-GGA
State: optimized geometry

Unit cell a=7.2594 b=7.9331 c=10.6851 alpha=90.00 beta=90.00 gamma=90.00
Space group Imma (No. 74)
Inequivalent atoms, fractional coordinates:
1 Cs 0.2500 0.2500 0.2500 [4 per cell]
2 Tl 0.0000 0.0000 0.0000 [4 per cell]
3 Pb 0.0000 0.0000 0.5000 [4 per cell]
4 Pb 0.2500 0.2500 0.7500 [4 per cell]
5 O 0.0000 0.0605 0.7420 [8 per cell]
6 O 0.2308 0.2500 0.5436 [8 per cell]

Energy relative to the elements, uncorrected   -0.89 eV/atom
Raw total energy   -4.703 eV/atom

Entry 5:
Material: BaNa2Au
Method: DFT, PBE-GGA
State: optimized geometry

Unit cell a=4.8182 b=9.6561 c=6.3323 alpha=90.00 beta=112.25 gamma=90.00
Space group P2_1/m (No. 11)
Inequivalent atoms, fractional coordinates:
1 Ba 0.0508 0.2500 0.1013 [2 per cell]
2 Na 0.3373 0.0573 0.6746 [4 per cell]
3 Au 0.2433 0.7500 0.4864 [2 per cell]

Offset from the most stable computed form   0.00 eV per formula unit
Raw total energy   -2.290 eV/atom
Formation energy   -1.32 eV/f.u.

Entry 6:
Material: SrCd2In2Hg2
Method: DFT, PBE-GGA
State: optimized geometry

Unit cell a=8.6234 b=4.9776 c=9.3931 alpha=90.00 beta=107.84 gamma=90.00
Space group C2/m (No. 12)
Inequivalent atoms, fractional coordinates:
1 Sr 0.0000 0.0000 0.0000 [2 per cell]
2 Cd 0.0722 0.5000 0.7179 [4 per cell]
3 In 0.1434 0.0000 0.4281 [4 per cell]
4 Hg 0.2310 0.5000 0.1905 [4 per cell]

Raw total energy   -1.598 eV/atom
Formation energy   -1.59 eV/f.u.

Entry 7:
Material: ScPaInGa
Method: DFT, PBE-GGA
State: optimized geometry

Unit cell a=7.1751 b=7.1751 c=7.1751 alpha=90.00 beta=90.00 gamma=90.00
Space group F-43m (No. 216)
Inequivalent atoms, fractional coordinates:
1 Sc 0.0000 0.0000 0.0000 [4 per cell]
2 Pa 0.0000 0.0000 0.5000 [4 per cell]
3 In 0.2500 0.2500 0.2500 [4 per cell]
4 Ga 0.2500 0.2500 0.7500 [4 per cell]

Raw total energy   -5.556 eV/atom
Formation energy   -0.63 eV/f.u.

Entry 8:
Material: SiTe2Cl
Method: DFT, PBE-GGA
State: optimized geometry

Unit cell a=4.3720 b=4.3720 c=10.4917 alpha=90.00 beta=90.00 gamma=90.00
Space group I4/mmm (No. 139)
Inequivalent atoms, fractional coordinates:
1 Si 0.0000 0.0000 0.0000 [2 per cell]
2 Te 0.0000 0.5000 0.2500 [4 per cell]
3 Cl 0.0000 0.0000 0.5000 [2 per cell]

Offset from the most stable computed form   1.78 eV per formula unit
Energy relative to the elements, uncorrected   0.36 eV/atom
Raw total energy   -3.029 eV/atom

Entry 9:
Material: K2LiZrCl6
Method: DFT, PBE-GGA
State: optimized geometry

Unit cell a=7.2311 b=7.2311 c=35.9239 alpha=90.00 beta=90.00 gamma=120.00
Space group R-3m (No. 166, hexagonal axes)
Inequivalent atoms, fractional coordinates:
1 K 0.0000 0.0000 0.1277 [6 per cell]
2 K 0.0000 0.0000 0.2921 [6 per cell]
3 Li 0.0000 0.0000 0.4131 [6 per cell]
4 Zr 0.0000 0.0000 0.0000 [3 per cell]
5 Zr 0.0000 0.0000 0.5000 [3 per cell]
6 Cl 0.0007 0.5004 0.7077 [18 per cell]
7 Cl 0.0022 0.5011 0.1253 [18 per cell]

Energy relative to the elements, uncorrected   -1.80 eV/atom
Raw total energy   -4.170 eV/atom

Entry 10:
Material: Zr2TeW
Method: DFT, PBE-GGA
State: optimized geometry

Unit cell a=3.5933 b=3.5933 c=6.4817 alpha=90.00 beta=90.00 gamma=90.00
Space group P4/mmm (No. 123)
Inequivalent atoms, fractional coordinates:
1 Zr 0.0000 0.0000 0.2331 [2 per cell]
2 Te 0.5000 0.5000 0.5000 [1 per cell]
3 W 0.5000 0.5000 0.0000 [1 per cell]

Offset from the most stable computed form   0.00 eV per formula unit
Energy relative to the elements, uncorrected   -0.19 eV/atom
Raw total energy   -8.492 eV/atom

Entry 11:
Material: Ac2ZnCd3
Method: DFT, PBE-GGA
State: optimized geometry

Unit cell a=3.9153 b=5.0784 c=8.7275 alpha=90.00 beta=90.00 gamma=90.00
Space group Pmm2 (No. 25)
Inequivalent atoms, fractional coordinates:
1 Ac 0.0000 0.0000 0.0000 [1 per cell]
2 Ac 0.0000 0.5000 0.4834 [1 per cell]
3 Zn 0.5000 0.0000 0.3250 [1 per cell]
4 Cd 0.5000 0.0000 0.6519 [1 per cell]
5 Cd 0.5000 0.5000 0.1619 [1 per cell]
6 Cd 0.5000 0.5000 0.8225 [1 per cell]

Offset from the most stable computed form   0.00 eV per formula unit
Raw total energy   -2.347 eV/atom
Formation energy   -1.84 eV/f.u.

Entry 12:
Material: Ac2LaPu
Method: DFT, PBE-GGA
State: optimized geometry

Unit cell a=5.3781 b=5.3781 c=5.2476 alpha=90.00 beta=90.00 gamma=90.00
Space group P4/mmm (No. 123)
Inequivalent atoms, fractional coordinates:
1 Ac 0.0000 0.5000 0.0000 [2 per cell]
2 La 0.0000 0.0000 0.5000 [1 per cell]
3 Pu 0.5000 0.5000 0.5000 [1 per cell]

Offset from the most stable computed form   0.08 eV per formula unit
Raw total energy   -6.696 eV/atom
Formation energy   0.69 eV/f.u.

Entry 13:
Material: Sr2Ag2I
Method: DFT, PBE-GGA
State: optimized geometry

Unit cell a=4.0794 b=4.0794 c=19.5207 alpha=90.00 beta=90.00 gamma=90.00
Space group I4/mmm (No. 139)
Inequivalent atoms, fractional coordinates:
1 Sr 0.0000 0.0000 0.1217 [4 per cell]
2 Ag 0.0000 0.5000 0.2500 [4 per cell]
3 I 0.0000 0.0000 0.5000 [2 per cell]

Offset from the most stable computed form   0.25 eV per formula unit
Energy relative to the elements, uncorrected   -0.49 eV/atom
Raw total energy   -2.610 eV/atom

Entry 14:
Material: AcSm2HoTm4
Method: DFT, PBE-GGA
State: optimized geometry

Unit cell a=5.1024 b=5.1280 c=9.9984 alpha=90.00 beta=90.00 gamma=90.00
Space group Pmmm (No. 47)
Inequivalent atoms, fractional coordinates:
1 Ac 0.0000 0.0000 0.0000 [1 per cell]
2 Sm 0.0000 0.0000 0.5000 [1 per cell]
3 Sm 0.5000 0.5000 0.0000 [1 per cell]
4 Ho 0.5000 0.5000 0.5000 [1 per cell]
5 Tm 0.0000 0.5000 0.2584 [2 per cell]
6 Tm 0.5000 0.0000 0.2584 [2 per cell]

Raw total energy   -4.455 eV/atom
Formation energy   0.37 eV/f.u.

Entry 15:
Material: CaTmGaPd
Method: DFT, PBE-GGA
State: optimized geometry

Unit cell a=7.0746 b=7.0746 c=7.0746 alpha=90.00 beta=90.00 gamma=90.00
Space group F-43m (No. 216)
Inequivalent atoms, fractional coordinates:
1 Ca 0.0000 0.0000 0.0000 [4 per cell]
2 Tm 0.0000 0.0000 0.5000 [4 per cell]
3 Ga 0.2500 0.2500 0.7500 [4 per cell]
4 Pd 0.2500 0.2500 0.2500 [4 per cell]

Offset from the most stable computed form   0.09 eV per formula unit
Raw total energy   -4.292 eV/atom
Formation energy   -2.47 eV/f.u.

Entry 16:
Material: Nd2ScIn
Method: DFT, PBE-GGA
State: optimized geometry

Unit cell a=4.1279 b=4.1279 c=6.8693 alpha=90.00 beta=90.00 gamma=90.00
Space group P4/mmm (No. 123)
Inequivalent atoms, fractional coordinates:
1 Nd 0.0000 0.0000 0.2443 [2 per cell]
2 Sc 0.5000 0.5000 0.5000 [1 per cell]
3 In 0.5000 0.5000 0.0000 [1 per cell]

Offset from the most stable computed form   0.26 eV per formula unit
Raw total energy   -4.843 eV/atom
Formation energy   -0.77 eV/f.u.

Entry 17:
Material: BaAl2Br
Method: DFT, PBE-GGA
State: optimized geometry

Unit cell a=3.9817 b=6.5884 c=4.9568 alpha=90.00 beta=90.07 gamma=90.00
Space group P2/m (No. 10)
Inequivalent atoms, fractional coordinates:
1 Ba 0.0000 0.0000 0.0000 [1 per cell]
2 Al 0.3724 0.5000 0.7569 [2 per cell]
3 Br 0.5000 0.0000 0.5000 [1 per cell]

Offset from the most stable computed form   0.83 eV per formula unit
Energy relative to the elements, uncorrected   -0.33 eV/atom
Raw total energy   -3.096 eV/atom

Entry 18:
Material: Ba2In3Hg
Method: DFT, PBE-GGA
State: optimized geometry

Unit cell a=12.2415 b=5.2365 c=8.5732 alpha=90.00 beta=133.77 gamma=90.00
Space group Cm (No. 8)
Inequivalent atoms, fractional coordinates:
1 Ba 0.0000 0.0000 0.0000 [2 per cell]
2 Ba 0.0926 0.0000 0.5990 [2 per cell]
3 In 0.2064 0.5000 0.3956 [2 per cell]
4 In 0.3828 0.0000 0.2014 [2 per cell]
5 In 0.3845 0.0000 0.5767 [2 per cell]
6 Hg 0.2130 0.5000 0.0248 [2 per cell]

Raw total energy   -2.544 eV/atom
Formation energy   -2.90 eV/f.u.

Entry 19:
Material: ErScIn2
Method: DFT, PBE-GGA
State: optimized geometry

Unit cell a=3.6324 b=3.6324 c=7.3448 alpha=90.00 beta=90.00 gamma=90.00
Space group P4/mmm (No. 123)
Inequivalent atoms, fractional coordinates:
1 Er 0.0000 0.0000 0.0000 [1 per cell]
2 Sc 0.0000 0.0000 0.5000 [1 per cell]
3 In 0.5000 0.5000 0.2644 [2 per cell]

Raw total energy   -4.515 eV/atom
Formation energy   -1.69 eV/f.u.

Entry 20:
Material: Dy5Tl2Pt
Method: DFT, PBE-GGA
State: optimized geometry

Unit cell a=5.5309 b=16.3385 c=12.4889 alpha=90.00 beta=90.00 gamma=90.00
Space group Cmcm (No. 63)
Inequivalent atoms, fractional coordinates:
1 Dy 0.0000 0.0776 0.1005 [8 per cell]
2 Dy 0.0000 0.2914 0.7500 [4 per cell]
3 Dy 0.0000 0.3028 0.0649 [8 per cell]
4 Tl 0.0000 0.1145 0.6316 [8 per cell]
5 Pt 0.0000 0.2010 0.2500 [4 per cell]

Offset from the most stable computed form   3.12 eV per formula unit
Raw total energy   -4.371 eV/atom
Formation energy   -1.18 eV/f.u.

Entry 21:
Material: Ca4InW
Method: DFT, PBE-GGA
State: optimized geometry

Unit cell a=8.9280 b=8.9280 c=8.9280 alpha=90.00 beta=90.00 gamma=90.00
Space group F-43m (No. 216)
Inequivalent atoms, fractional coordinates:
1 Ca 0.1243 0.1243 0.3757 [16 per cell]
2 In 0.0000 0.0000 0.0000 [4 per cell]
3 W 0.2500 0.2500 0.7500 [4 per cell]

Raw total energy   -2.984 eV/atom
Formation energy   5.79 eV/f.u.

Entry 22:
Material: CaPmCdGa
Method: DFT, PBE-GGA
State: optimized geometry

Unit cell a=7.4991 b=7.4991 c=7.4991 alpha=90.00 beta=90.00 gamma=90.00
Space group F-43m (No. 216)
Inequivalent atoms, fractional coordinates:
1 Ca 0.0000 0.0000 0.0000 [4 per cell]
2 Pm 0.0000 0.0000 0.5000 [4 per cell]
3 Cd 0.2500 0.2500 0.7500 [4 per cell]
4 Ga 0.2500 0.2500 0.2500 [4 per cell]

Offset from the most stable computed form   0.00 eV per formula unit
Raw total energy   -3.113 eV/atom
Formation energy   -1.76 eV/f.u.

Entry 23:
Material: MnIrRu2
Method: DFT, PBE-GGA
State: optimized geometry

Unit cell a=5.1912 b=5.1912 c=11.3962 alpha=90.00 beta=90.00 gamma=90.00
Space group I-42d (No. 122)
Inequivalent atoms, fractional coordinates:
1 Mn 0.0000 0.0000 0.0000 [4 per cell]
2 Ir 0.0000 0.0000 0.5000 [4 per cell]
3 Ru 0.2229 0.2500 0.1250 [8 per cell]

Offset from the most stable computed form   4.53 eV per formula unit
Raw total energy   -8.061 eV/atom
Formation energy   4.34 eV/f.u.

Entry 24:
Material: LaTbTm2
Method: DFT, PBE-GGA
State: optimized geometry

Unit cell a=6.6939 b=6.6939 c=11.8154 alpha=90.00 beta=90.00 gamma=90.00
Space group P4_12_12 (No. 92)
Inequivalent atoms, fractional coordinates:
1 La 0.0293 0.0293 0.0000 [4 per cell]
2 Tb 0.1825 0.8175 0.7500 [4 per cell]
3 Tm 0.0345 0.3169 0.7556 [8 per cell]

Offset from the most stable computed form   0.68 eV per formula unit
Raw total energy   -4.440 eV/atom
Formation energy   0.74 eV/f.u.

Entry 25:
Material: Cs2KGaI6
Method: DFT, PBE-GGA
State: optimized geometry

Unit cell a=12.4272 b=12.4272 c=12.4272 alpha=90.00 beta=90.00 gamma=90.00
Space group Fm-3m (No. 225)
Inequivalent atoms, fractional coordinates:
1 Cs 0.2500 0.2500 0.2500 [8 per cell]
2 K 0.0000 0.0000 0.0000 [4 per cell]
3 Ga 0.0000 0.0000 0.5000 [4 per cell]
4 I 0.0000 0.0000 0.2730 [24 per cell]

Energy relative to the elements, uncorrected   -1.03 eV/atom
Raw total energy   -2.547 eV/atom